Record 1
{"formula": "Nd3Y4Er8", "functional": "PBE", "state": "optimized geometry", "total_energy_ev_per_atom": -4.72, "m_tot_mub_per_fu": 0.01, "formation_enthalpy_0k_mev_per_atom": 392.4, "n_ef_per_ev_cell": 30.57, "cell": [[6.745, -0.118, -0.169], [-3.189, 8.619, 1.164], [-3.189, -1.900, 8.487]], "species": ["Nd", "Nd", "Nd", "Y", "Y", "Y", "Y", "Er", "Er", "Er", "Er", "Er", "Er", "Er", "Er"], "fractional_positions": [[0.500, 0.500, 0.000], [0.500, 0.000, 0.500], [0.500, 0.500, 0.500], [0.500, 0.000, 0.000], [0.000, 0.500, 0.000], [0.000, 0.000, 0.000], [0.000, 0.000, 0.500], [0.536, 0.269, 0.269], [0.000, 0.639, 0.361], [0.010, 0.266, 0.266], [0.500, 0.745, 0.255], [0.500, 0.255, 0.745], [0.990, 0.734, 0.734], [0.000, 0.361, 0.639], [0.464, 0.731, 0.731]]}

Record 2
{"formula": "Nd11Y4Er9", "functional": "PBE", "state": "optimized geometry", "total_energy_ev_per_atom": -4.91, "m_tot_mub_per_fu": 0.00, "formation_enthalpy_0k_mev_per_atom": 62.7, "n_ef_per_ev_cell": 30.63, "cell": [[-2.328, -0.677, -2.740], [5.561, -14.344, -1.182], [-11.865, 1.146, 9.797]], "species": ["Nd", "Nd", "Nd", "Nd", "Nd", "Nd", "Nd", "Nd", "Nd", "Nd", "Nd", "Y", "Y", "Y", "Y", "Er", "Er", "Er", "Er", "Er", "Er", "Er", "Er", "Er"], "fractional_positions": [[0.000, 0.596, 0.959], [0.000, 0.404, 0.041], [0.000, 0.959, 0.596], [0.000, 0.041, 0.404], [0.000, 0.632, 0.368], [0.000, 0.368, 0.632], [0.000, 0.839, 0.161], [0.000, 0.161, 0.839], [0.000, 0.000, 0.000], [0.000, 0.709, 0.709], [0.000, 0.291, 0.291], [0.500, 0.556, 0.759], [0.500, 0.444, 0.241], [0.500, 0.759, 0.556], [0.500, 0.241, 0.444], [0.500, 0.630, 0.166], [0.500, 0.370, 0.834], [0.500, 0.166, 0.630], [0.500, 0.834, 0.370], [0.500, 0.787, 0.933], [0.500, 0.213, 0.067], [0.500, 0.933, 0.787], [0.500, 0.067, 0.213], [0.500, 0.500, 0.500]]}

Record 3
{"formula": "Nd4Y3Er", "functional": "PBE", "state": "optimized geometry", "total_energy_ev_per_atom": -5.35, "m_tot_mub_per_fu": 0.00, "formation_enthalpy_0k_mev_per_atom": 23.4, "polymorph_energy_kj_per_mol_atoms": 0.0, "n_ef_per_ev_cell": 30.23, "cell": [[-0.798, 5.909, 2.176], [-4.883, 1.309, -5.346], [-8.562, -3.701, 6.914]], "species": ["Nd", "Nd", "Nd", "Nd", "Nd", "Nd", "Nd", "Nd", "Y", "Y", "Y", "Y", "Y", "Y", "Er", "Er"], "fractional_positions": [[0.151, 0.873, 0.000], [0.647, 0.127, 0.000], [0.981, 0.127, 0.248], [0.481, 0.873, 0.252], [0.147, 0.873, 0.500], [0.651, 0.127, 0.500], [0.481, 0.873, 0.748], [0.981, 0.127, 0.752], [0.647, 0.623, 0.000], [0.981, 0.622, 0.250], [0.481, 0.378, 0.250], [0.147, 0.377, 0.500], [0.481, 0.378, 0.750], [0.981, 0.622, 0.750], [0.146, 0.379, 0.000], [0.646, 0.621, 0.500]]}

Record 4
{"formula": "Nd4Y4Er5", "functional": "PBE", "state": "optimized geometry", "total_energy_ev_per_atom": -5.19, "m_tot_mub_per_fu": 0.00, "formation_enthalpy_0k_mev_per_atom": 22.0, "n_ef_per_ev_cell": 19.09, "cell": [[4.896, 0.000, 1.245], [2.448, 9.141, 0.622], [0.196, 0.000, 9.482]], "species": ["Nd", "Nd", "Nd", "Nd", "Y", "Y", "Y", "Y", "Er", "Er", "Er", "Er", "Er"], "fractional_positions": [[0.922, 0.461, 0.695], [0.617, 0.305, 0.461], [0.078, 0.539, 0.305], [0.383, 0.695, 0.539], [0.772, 0.381, 0.076], [0.228, 0.619, 0.924], [0.847, 0.924, 0.381], [0.153, 0.076, 0.619], [0.689, 0.850, 0.773], [0.311, 0.150, 0.227], [0.000, 0.000, 0.000], [0.538, 0.773, 0.150], [0.462, 0.227, 0.850]]}

Record 5
{"formula": "Nd5Y5Er2", "functional": "PBE", "state": "optimized geometry", "total_energy_ev_per_atom": -5.42, "m_tot_mub_per_fu": 0.00, "formation_enthalpy_0k_mev_per_atom": 17.8, "n_ef_per_ev_cell": 17.14, "cell": [[-0.826, -4.276, -2.657], [4.368, 5.023, -4.545], [5.929, -5.943, 7.721]], "species": ["Nd", "Nd", "Nd", "Nd", "Nd", "Y", "Y", "Y", "Y", "Y", "Er", "Er"], "fractional_positions": [[0.500, 0.000, 0.500], [0.667, 0.333, 0.000], [0.583, 0.165, 0.250], [0.417, 0.835, 0.750], [0.333, 0.667, 0.000], [0.167, 0.333, 0.501], [0.748, 0.497, 0.748], [0.252, 0.503, 0.252], [0.833, 0.667, 0.499], [0.000, 0.000, 0.000], [0.083, 0.167, 0.750], [0.917, 0.833, 0.250]]}

Record 6
{"formula": "NdY3Er12", "functional": "PBE", "state": "optimized geometry", "total_energy_ev_per_atom": -4.91, "m_tot_mub_per_fu": 0.00, "formation_enthalpy_0k_mev_per_atom": 24.8, "n_ef_per_ev_cell": 21.55, "cell": [[-0.681, 2.448, 4.298], [-2.217, -4.029, 1.944], [17.688, -6.572, 6.547]], "species": ["Nd", "Y", "Y", "Y", "Er", "Er", "Er", "Er", "Er", "Er", "Er", "Er", "Er", "Er", "Er", "Er"], "fractional_positions": [[0.000, 0.000, 0.000], [0.000, 0.000, 0.251], [0.000, 0.000, 0.500], [0.000, 0.000, 0.749], [0.500, 0.500, 0.000], [0.500, 0.500, 0.251], [0.500, 0.500, 0.500], [0.500, 0.500, 0.749], [0.500, 0.000, 0.126], [0.500, 0.000, 0.375], [0.500, 0.000, 0.625], [0.500, 0.000, 0.874], [0.000, 0.500, 0.126], [0.000, 0.500, 0.375], [0.000, 0.500, 0.625], [0.000, 0.500, 0.874]]}

Record 7
{"formula": "Nd2YEr3", "functional": "PBE", "state": "optimized geometry", "total_energy_ev_per_atom": -4.83, "m_tot_mub_per_fu": 0.00, "formation_enthalpy_0k_mev_per_atom": 122.7, "polymorph_energy_kj_per_mol_atoms": 2.8, "n_ef_per_ev_cell": 18.64, "cell": [[3.439, 0.000, -0.653], [-0.330, 10.085, -1.737], [0.433, -1.715, 11.654]], "species": ["Nd", "Nd", "Nd", "Nd", "Y", "Y", "Er", "Er", "Er", "Er", "Er", "Er"], "fractional_positions": [[0.691, 0.371, 0.381], [0.309, 0.629, 0.619], [0.068, 0.135, 0.136], [0.932, 0.865, 0.864], [0.689, 0.036, 0.377], [0.311, 0.964, 0.623], [0.694, 0.715, 0.389], [0.930, 0.238, 0.860], [0.558, 0.446, 0.117], [0.306, 0.285, 0.611], [0.442, 0.554, 0.883], [0.070, 0.762, 0.140]]}

Record 8
{"formula": "NdY2Er4", "functional": "PBE", "state": "optimized geometry", "total_energy_ev_per_atom": -5.01, "m_tot_mub_per_fu": 0.00, "formation_enthalpy_0k_mev_per_atom": 124.7, "polymorph_energy_kj_per_mol_atoms": 8.1, "n_ef_per_ev_cell": 23.98, "cell": [[-3.324, -2.768, -4.283], [5.448, -2.636, -2.525], [0.647, -7.325, 9.042]], "species": ["Nd", "Nd", "Y", "Y", "Y", "Y", "Er", "Er", "Er", "Er", "Er", "Er", "Er", "Er"], "fractional_positions": [[0.183, 0.750, 0.137], [0.817, 0.250, 0.863], [0.616, 0.750, 0.011], [0.384, 0.250, 0.989], [0.292, 0.250, 0.449], [0.708, 0.750, 0.551], [0.640, 0.491, 0.290], [0.983, 0.750, 0.836], [0.017, 0.250, 0.164], [0.640, 0.009, 0.290], [0.860, 0.250, 0.579], [0.360, 0.991, 0.710], [0.360, 0.509, 0.710], [0.140, 0.750, 0.421]]}

Record 9
{"formula": "NdY8Er6", "functional": "PBE", "state": "optimized geometry", "total_energy_ev_per_atom": -5.35, "m_tot_mub_per_fu": 0.00, "formation_enthalpy_0k_mev_per_atom": 238.8, "polymorph_energy_kj_per_mol_atoms": 9.8, "n_ef_per_ev_cell": 22.74, "cell": [[6.541, 0.000, 0.000], [0.000, 8.142, -4.701], [0.000, 0.000, 9.402]], "species": ["Nd", "Y", "Y", "Y", "Y", "Y", "Y", "Y", "Y", "Er", "Er", "Er", "Er", "Er", "Er"], "fractional_positions": [[0.500, 0.000, 0.000], [0.901, 0.972, 0.312], [0.901, 0.688, 0.661], [0.901, 0.339, 0.028], [0.099, 0.028, 0.688], [0.099, 0.312, 0.339], [0.099, 0.661, 0.972], [0.822, 0.333, 0.667], [0.178, 0.667, 0.333], [0.592, 0.678, 0.091], [0.592, 0.909, 0.587], [0.592, 0.413, 0.322], [0.408, 0.322, 0.909], [0.408, 0.091, 0.413], [0.408, 0.587, 0.678]]}

Record 10
{"formula": "Nd2YEr", "functional": "PBE", "state": "optimized geometry", "total_energy_ev_per_atom": -5.12, "m_tot_mub_per_fu": 0.00, "formation_enthalpy_0k_mev_per_atom": 20.4, "polymorph_energy_kj_per_mol_atoms": 0.8, "n_ef_per_ev_cell": 6.44, "cell": [[-3.104, 2.059, 3.403], [-2.718, -4.353, 0.155], [2.999, -1.738, 3.787]], "species": ["Y", "Nd", "Nd", "Er"], "fractional_positions": [[0.500, 0.500, 0.500], [0.000, 0.000, 0.500], [0.000, 0.500, 0.000], [0.500, 0.000, 0.000]]}

Record 11
{"formula": "Nd4Y3Er", "functional": "PBE", "state": "optimized geometry", "total_energy_ev_per_atom": -5.21, "m_tot_mub_per_fu": 0.00, "formation_enthalpy_0k_mev_per_atom": 163.9, "polymorph_energy_kj_per_mol_atoms": 13.6, "n_ef_per_ev_cell": 14.08, "cell": [[-2.276, 0.205, -2.652], [-2.210, -6.319, 1.408], [-5.606, 7.306, 7.686]], "species": ["Y", "Y", "Y", "Nd", "Nd", "Nd", "Nd", "Er"], "fractional_positions": [[0.000, 0.500, 0.000], [0.122, 0.882, 0.245], [0.878, 0.118, 0.755], [0.740, 0.237, 0.481], [0.260, 0.763, 0.519], [0.123, 0.369, 0.247], [0.877, 0.631, 0.753], [0.500, 0.000, 0.000]]}

Record 12
{"formula": "NdY6Er12", "functional": "PBE", "state": "optimized geometry", "total_energy_ev_per_atom": -4.72, "m_tot_mub_per_fu": 0.00, "formation_enthalpy_0k_mev_per_atom": 451.3, "polymorph_energy_kj_per_mol_atoms": 27.8, "n_ef_per_ev_cell": 25.56, "cell": [[0.553, 5.161, -7.754], [8.649, -2.261, 2.674], [-4.629, -7.853, -1.995]], "species": ["Nd", "Y", "Y", "Y", "Y", "Y", "Y", "Er", "Er", "Er", "Er", "Er", "Er", "Er", "Er", "Er", "Er", "Er", "Er"], "fractional_positions": [[0.000, 0.000, 0.000], [0.678, 0.249, 0.678], [0.678, 0.678, 0.249], [0.249, 0.678, 0.678], [0.322, 0.322, 0.751], [0.322, 0.751, 0.322], [0.751, 0.322, 0.322], [0.892, 0.108, 0.500], [0.367, 0.156, 0.367], [0.367, 0.367, 0.156], [0.844, 0.633, 0.633], [0.633, 0.633, 0.844], [0.633, 0.844, 0.633], [0.500, 0.892, 0.108], [0.108, 0.500, 0.892], [0.108, 0.892, 0.500], [0.500, 0.108, 0.892], [0.892, 0.500, 0.108], [0.156, 0.367, 0.367]]}

Record 13
{"formula": "Nd2Y3Er2", "functional": "PBE", "state": "optimized geometry", "total_energy_ev_per_atom": -5.31, "m_tot_mub_per_fu": 0.00, "formation_enthalpy_0k_mev_per_atom": 125.8, "polymorph_energy_kj_per_mol_atoms": 0.0, "n_ef_per_ev_cell": 11.12, "cell": [[3.513, 0.000, 0.000], [0.000, 8.563, -0.767], [-1.757, -3.619, 8.043]], "species": ["Nd", "Nd", "Y", "Y", "Y", "Er", "Er"], "fractional_positions": [[0.567, 0.914, 0.133], [0.433, 0.086, 0.867], [0.000, 0.500, 0.000], [0.212, 0.798, 0.424], [0.788, 0.202, 0.576], [0.850, 0.666, 0.700], [0.150, 0.334, 0.300]]}

Record 14
{"formula": "Nd6YEr12", "functional": "PBE", "state": "optimized geometry", "total_energy_ev_per_atom": -4.51, "m_tot_mub_per_fu": 0.00, "formation_enthalpy_0k_mev_per_atom": 218.5, "polymorph_energy_kj_per_mol_atoms": 8.8, "n_ef_per_ev_cell": 30.82, "cell": [[-4.781, -5.209, 5.092], [7.703, -1.024, 3.941], [-2.247, 7.663, 3.484]], "species": ["Nd", "Nd", "Nd", "Nd", "Nd", "Nd", "Y", "Er", "Er", "Er", "Er", "Er", "Er", "Er", "Er", "Er", "Er", "Er", "Er"], "fractional_positions": [[0.902, 0.344, 0.902], [0.902, 0.902, 0.344], [0.344, 0.902, 0.902], [0.098, 0.098, 0.656], [0.098, 0.656, 0.098], [0.656, 0.098, 0.098], [0.000, 0.000, 0.000], [0.756, 0.244, 0.500], [0.356, 0.082, 0.356], [0.356, 0.356, 0.082], [0.918, 0.644, 0.644], [0.644, 0.644, 0.918], [0.644, 0.918, 0.644], [0.500, 0.756, 0.244], [0.244, 0.500, 0.756], [0.244, 0.756, 0.500], [0.500, 0.244, 0.756], [0.756, 0.500, 0.244], [0.082, 0.356, 0.356]]}

Record 15
{"formula": "NdY7Er12", "functional": "PBE", "state": "optimized geometry", "total_energy_ev_per_atom": -4.50, "m_tot_mub_per_fu": 0.00, "formation_enthalpy_0k_mev_per_atom": 736.7, "polymorph_energy_kj_per_mol_atoms": 46.9, "n_ef_per_ev_cell": 26.92, "cell": [[-3.781, 6.192, -6.434], [8.667, -3.022, -3.129], [-5.910, -7.622, 1.009]], "species": ["Nd", "Y", "Y", "Y", "Y", "Y", "Y", "Y", "Er", "Er", "Er", "Er", "Er", "Er", "Er", "Er", "Er", "Er", "Er", "Er"], "fractional_positions": [[0.000, 0.000, 0.000], [0.500, 0.500, 0.000], [0.000, 0.500, 0.500], [0.500, 0.000, 0.500], [0.500, 0.500, 0.500], [0.000, 0.000, 0.500], [0.500, 0.000, 0.000], [0.000, 0.500, 0.000], [0.491, 0.745, 0.745], [0.000, 0.745, 0.255], [0.509, 0.255, 0.255], [0.000, 0.255, 0.745], [0.745, 0.000, 0.255], [0.745, 0.491, 0.745], [0.255, 0.000, 0.745], [0.255, 0.509, 0.255], [0.745, 0.745, 0.491], [0.255, 0.255, 0.509], [0.745, 0.255, 0.000], [0.255, 0.745, 0.000]]}

Record 16
{"formula": "Nd5Y5Er2", "functional": "PBE", "state": "optimized geometry", "total_energy_ev_per_atom": -5.42, "m_tot_mub_per_fu": 0.00, "formation_enthalpy_0k_mev_per_atom": 17.9, "n_ef_per_ev_cell": 17.72, "cell": [[4.975, 0.000, 1.122], [2.566, 10.501, 0.213], [0.840, -1.607, 7.862]], "species": ["Nd", "Nd", "Nd", "Nd", "Nd", "Y", "Y", "Y", "Y", "Y", "Er", "Er"], "fractional_positions": [[0.665, 0.252, 0.417], [0.997, 0.253, 0.753], [0.003, 0.747, 0.247], [0.335, 0.748, 0.583], [0.000, 0.000, 0.000], [0.000, 0.500, 0.500], [0.668, 0.747, 0.917], [0.333, 0.000, 0.334], [0.667, 0.000, 0.666], [0.332, 0.253, 0.083], [0.332, 0.500, 0.835], [0.668, 0.500, 0.165]]}

Record 17
{"formula": "NdY2Er7", "functional": "PBE", "state": "optimized geometry", "total_energy_ev_per_atom": -4.25, "m_tot_mub_per_fu": 0.00, "formation_enthalpy_0k_mev_per_atom": 717.7, "polymorph_energy_kj_per_mol_atoms": 67.0, "n_ef_per_ev_cell": 15.77, "cell": [[-3.982, -2.916, -1.797], [5.351, -2.703, -7.471], [-0.603, -4.405, 8.485]], "species": ["Nd", "Y", "Y", "Er", "Er", "Er", "Er", "Er", "Er", "Er"], "fractional_positions": [[0.000, 0.000, 0.000], [0.500, 0.702, 0.298], [0.500, 0.298, 0.702], [0.000, 0.802, 0.198], [0.000, 0.198, 0.802], [0.500, 0.069, 0.288], [0.500, 0.931, 0.712], [0.500, 0.288, 0.069], [0.500, 0.712, 0.931], [0.500, 0.500, 0.500]]}

Record 18
{"formula": "NdY4Er5", "functional": "PBE", "state": "optimized geometry", "total_energy_ev_per_atom": -5.28, "m_tot_mub_per_fu": 0.00, "formation_enthalpy_0k_mev_per_atom": 61.6, "polymorph_energy_kj_per_mol_atoms": 0.0, "n_ef_per_ev_cell": 17.13, "cell": [[0.793, 0.660, -3.401], [-1.850, -6.493, 0.344], [-13.320, 5.341, 0.841]], "species": ["Nd", "Y", "Y", "Y", "Y", "Er", "Er", "Er", "Er", "Er"], "fractional_positions": [[0.500, 0.000, 0.000], [0.412, 0.808, 0.218], [0.836, 0.727, 0.804], [0.588, 0.192, 0.782], [0.164, 0.273, 0.196], [0.952, 0.573, 0.388], [0.241, 0.119, 0.417], [0.759, 0.881, 0.583], [0.500, 0.500, 0.000], [0.048, 0.427, 0.612]]}

Record 19
{"formula": "NdY6Er", "functional": "PBE", "state": "optimized geometry", "total_energy_ev_per_atom": -5.86, "m_tot_mub_per_fu": 0.00, "formation_enthalpy_0k_mev_per_atom": 152.2, "n_ef_per_ev_cell": 13.98, "cell": [[8.636, 0.628, -0.156], [4.788, 8.378, 0.131], [4.188, 3.104, 3.856]], "species": ["Nd", "Y", "Y", "Y", "Y", "Y", "Y", "Er"], "fractional_positions": [[0.500, 0.500, 0.500], [0.956, 0.458, 0.834], [0.753, 0.955, 0.749], [0.457, 0.247, 0.340], [0.247, 0.045, 0.251], [0.044, 0.542, 0.166], [0.543, 0.753, 0.660], [0.000, 0.000, 0.000]]}